(1)
A plane-wave DFT calculation with PBE was carried out for Pm3Mn2Co7 after structural relaxation.

Results
Density of states at the Fermi level: 13.05 states/eV per cell
Magnetization: 10.75 μB/cell
ρ: 8.70 g/cm³
Total energy: -83.07 eV/f.u.
SG: R-3m

a b c (Å): 8.4491 8.4491 8.4491
angles (deg): 35.61 35.61 35.61
Element x y z (fractional)
Pm 0.0000 0.0000 0.0000
Pm 0.1405 0.1405 0.1405
Pm 0.8595 0.8595 0.8595
Mn 0.3333 0.3333 0.3333
Mn 0.6667 0.6667 0.6667
Co 0.0824 0.5801 0.5801
Co 0.4199 0.4199 0.9176
Co 0.4199 0.9176 0.4199
Co 0.5000 0.5000 0.5000
Co 0.5801 0.0824 0.5801
Co 0.5801 0.5801 0.0824
Co 0.9176 0.4199 0.4199

(2)
A plane-wave DFT calculation with PBE was carried out for TbSiNi2H after structural relaxation.

Results
Density of states at the Fermi level: 3.52 states/eV per cell
Magnetization: 0.00 μB/cell
ρ: 7.93 g/cm³
Total energy: -28.58 eV/f.u.
SG: Cmcm

a b c (Å): 5.4473 5.4473 6.7072
angles (deg): 90.00 90.00 140.02
Element x y z (fractional)
Tb 0.0593 0.9407 0.7500
Tb 0.9407 0.0593 0.2500
Si 0.2232 0.7768 0.2500
Si 0.7768 0.2232 0.7500
Ni 0.3341 0.6659 0.5581
Ni 0.3341 0.6659 0.9419
Ni 0.6659 0.3341 0.0581
Ni 0.6659 0.3341 0.4419
H 0.5000 0.5000 0.0000
H 0.5000 0.5000 0.5000

(3)
A plane-wave DFT calculation with PBE was carried out for NaAlF2 after structural relaxation.

Results
Density of states at the Fermi level: 0.00 states/eV per cell
Magnetization: 0.00 μB/cell
ρ: 2.76 g/cm³
Total energy: -18.16 eV/f.u.
Formation energy without anion corrections: -2.34 eV per atom
SG: R-3m
Energy above the lowest structure with this stoichiometry: 0 meV/atom

a b c (Å): 6.6844 6.6844 6.6844
angles (deg): 26.62 26.62 26.62
Element x y z (fractional)
Na 0.0000 0.0000 0.0000
Al 0.5000 0.5000 0.5000
F 0.4035 0.4035 0.4035
F 0.5965 0.5965 0.5965

(4)
A plane-wave DFT calculation with PBE was carried out for MgSc2Os after structural relaxation.

Results
Density of states at the Fermi level: 6.81 states/eV per cell
Magnetization: 0.00 μB/cell
ρ: 6.06 g/cm³
Total energy: -25.62 eV/f.u.
SG: R-3m

a b c (Å): 9.5257 9.5257 9.5257
angles (deg): 19.40 19.40 19.40
Element x y z (fractional)
Mg 0.0000 0.0000 0.0000
Sc 0.2362 0.2362 0.2362
Sc 0.7638 0.7638 0.7638
Os 0.5000 0.5000 0.5000

(5)
A plane-wave DFT calculation with PBE was carried out for YHo3Er5 after structural relaxation.

Results
Density of states at the Fermi level: 24.60 states/eV per cell
Magnetization: 0.01 μB/cell
ρ: 7.37 g/cm³
Total energy: -38.21 eV/f.u.
SG: C2/m
Energy above the lowest structure with this stoichiometry: 301 meV/atom

a b c (Å): 9.4073 9.4073 9.8959
angles (deg): 121.24 121.24 73.62
Element x y z (fractional)
Y 0.2485 0.2485 0.0998
Y 0.7515 0.7515 0.9002
Ho 0.0000 0.0000 0.0000
Ho 0.0105 0.0105 0.3146
Ho 0.4791 0.4791 0.1362
Ho 0.5000 0.5000 0.5000
Ho 0.5209 0.5209 0.8638
Ho 0.9895 0.9895 0.6854
Er 0.0985 0.6011 0.7491
Er 0.2209 0.2209 0.7298
Er 0.2398 0.7602 0.5000
Er 0.2782 0.2782 0.4637
Er 0.3989 0.9015 0.2509
Er 0.6011 0.0985 0.7491
Er 0.7218 0.7218 0.5363
Er 0.7602 0.2398 0.5000
Er 0.7791 0.7791 0.2702
Er 0.9015 0.3989 0.2509

(6)
A plane-wave DFT calculation with PBE was carried out for PuHgPt after structural relaxation.

Results
Density of states at the Fermi level: 13.15 states/eV per cell
Magnetization: 5.53 μB/cell
ρ: 13.90 g/cm³
Total energy: -21.95 eV/f.u.
SG: F-43m

a b c (Å): 4.7630 4.7630 4.7630
angles (deg): 60.00 60.00 60.00
Element x y z (fractional)
Pu 0.0000 0.0000 0.0000
Hg 0.5000 0.5000 0.5000
Pt 0.7500 0.7500 0.7500

(7)
A plane-wave DFT calculation with PBE was carried out for EuTcAs2 after structural relaxation.

Results
Density of states at the Fermi level: 3.76 states/eV per cell
Magnetization: 6.51 μB/cell
ρ: 8.90 g/cm³
Total energy: -31.13 eV/f.u.
SG: R-3m
Energy above the lowest structure with this stoichiometry: 116 meV/atom

a b c (Å): 4.6252 4.6252 4.6252
angles (deg): 62.97 62.97 62.97
Element x y z (fractional)
Eu 0.0000 0.0000 0.0000
Tc 0.5000 0.5000 0.5000
As 0.2571 0.2571 0.2571
As 0.7429 0.7429 0.7429

(8)
A plane-wave DFT calculation with PBE was carried out for BaCa3Hg after structural relaxation.

Results
Density of states at the Fermi level: 14.17 states/eV per cell
Magnetization: 0.00 μB/cell
ρ: 3.70 g/cm³
Total energy: -9.31 eV/f.u.
SG: Cmmm
Energy above the lowest structure with this stoichiometry: 0 meV/atom

a b c (Å): 9.9315 9.9315 4.4114
angles (deg): 90.00 90.00 108.85
Element x y z (fractional)
Ba 0.2120 0.7880 0.0000
Ba 0.7880 0.2120 0.0000
Ca 0.0000 0.0000 0.5000
Ca 0.1635 0.4189 0.5000
Ca 0.4189 0.1635 0.5000
Ca 0.5000 0.5000 0.0000
Ca 0.5811 0.8365 0.5000
Ca 0.8365 0.5811 0.5000
Hg 0.2053 0.2053 0.0000
Hg 0.7947 0.7947 0.0000